Below is crystalline TiSn at its relaxed geometry, with properties calculated at the PBE-GGA level.

Geometry as POSCAR:
```
TiSn
1.0
0.000 2.795 2.795
2.795 0.000 2.795
2.795 2.795 0.000
Ti Sn
1 1
direct
0.000 0.000 0.000
0.500 0.500 0.500
```

Computed properties:
ΔH_f (0 K) = -0.0681 eV/atom
Spin magnetization = 0.00 μB per atom